No. 1
Computed, not measured: a relaxed structure of DyGa2Au3 at the PBE level of DFT.

The space group is C2/m (No. 12) and the conventional cell measures 15.9914, 4.4951 and 6.7427 Å, with angles of 90.00, 105.89 and 90.00 degrees. Symmetry generates all atoms from Dy at (0.1221, 0.0000, 0.1754), Ga at (0.0099, 0.5000, 0.8093), Ga at (0.2271, 0.0000, 0.6712), Au at (0.0639, 0.0000, 0.6986), Au at (0.1396, 0.5000, 0.4933) and Au at (0.1895, 0.5000, 0.9389).

The calculation puts the magnetic moment at 0.00 μB/f.u. For the energy above the most stable polymorph in this dataset, the calculation gives 0.0 kJ/mol of atoms. The density of states at the Fermi level is 7.975 states/eV per cell. For the energy of formation from the pure elements, the calculation gives -538 meV/atom.


No. 2
Computed, not measured: a relaxed structure of K4LaIr at the PBE level of DFT.

The space group is F-43m (No. 216) and the conventional cell measures 9.5834, 9.5834 and 9.5834 Å, with angles of 90.00, 90.00 and 90.00 degrees. Symmetry generates all atoms from K at (0.1215, 0.1215, 0.3785), La at (0.0000, 0.0000, 0.0000) and Ir at (0.2500, 0.2500, 0.7500).

The calculation puts the magnetic moment at 1.29 μB/f.u. The density of states at the Fermi level is 29.673 states/eV per cell. For the energy of formation from the pure elements, the calculation gives 1022 meV/atom.


No. 3
Computed, not measured: a relaxed structure of Pm5PrSm2Er at the PBE level of DFT.

The space group is I4/mcm (No. 140) and the conventional cell measures 8.9327, 8.9327 and 15.5621 Å, with angles of 90.00, 90.00 and 90.00 degrees. Symmetry generates all atoms from Pm at (0.0000, 0.0000, 0.0000), Pm at (0.2081, 0.2919, 0.1370), Pr at (0.0000, 0.0000, 0.2500), Sm at (0.1156, 0.3844, 0.5000) and Er at (0.0000, 0.5000, 0.2500).

The calculation puts the magnetic moment at 0.00 μB/f.u. The density of states at the Fermi level is 53.061 states/eV per cell. For the energy of formation from the pure elements, the calculation gives 279 meV/atom.


No. 4
Computed, not measured: a relaxed structure of TaHg2Au at the PBE level of DFT.

The space group is C2/m (No. 12) and the conventional cell measures 10.9685, 2.9519 and 5.3237 Å, with angles of 90.00, 112.00 and 90.00 degrees. Symmetry generates all atoms from Ta at (0.0000, 0.0000, 0.0000), Hg at (0.2486, 0.5000, 0.2477) and Au at (0.0000, 0.5000, 0.5000).

The calculation puts the magnetic moment at 0.00 μB/f.u. For the energy above the most stable polymorph in this dataset, the calculation gives 15.8 kJ/mol of atoms. The density of states at the Fermi level is 4.020 states/eV per cell. For the energy of formation from the pure elements, the calculation gives 345 meV/atom.


No. 5
Computed, not measured: a relaxed structure of CrAg2Pt at the PBE level of DFT.

The space group is R-3m (No. 166, hexagonal axes) and the conventional cell measures 2.8596, 2.8596 and 28.0213 Å, with angles of 90.00, 90.00 and 120.00 degrees. Symmetry generates all atoms from Cr at (0.0000, 0.0000, 0.0000), Ag at (0.0000, 0.0000, 0.2513) and Pt at (0.0000, 0.0000, 0.5000).

The calculation puts the magnetic moment at 3.73 μB/f.u. For the energy above the most stable polymorph in this dataset, the calculation gives 19.9 kJ/mol of atoms. The density of states at the Fermi level is 10.893 states/eV per cell. For the energy of formation from the pure elements, the calculation gives 300 meV/atom.


No. 6
Computed, not measured: a relaxed structure of SrPb3S4 at the PBE level of DFT.

The space group is R-3m (No. 166, hexagonal axes) and the conventional cell measures 4.2581, 4.2581 and 41.7243 Å, with angles of 90.00, 90.00 and 120.00 degrees. Symmetry generates all atoms from Sr at (0.0000, 0.0000, 0.0000), Pb at (0.0000, 0.0000, 0.2496), Pb at (0.0000, 0.0000, 0.5000), S at (0.0000, 0.0000, 0.1252) and S at (0.0000, 0.0000, 0.3747).

The calculation puts the raw formation energy at -7.49 eV per formula unit. The calculation puts the magnetic moment at 0.00 μB/f.u. For the energy above the most stable polymorph in this dataset, the calculation gives 0.4 kJ/mol of atoms.


No. 7
Computed, not measured: a relaxed structure of In2RhCl at the PBE level of DFT.

The space group is I4/mmm (No. 139) and the conventional cell measures 5.4344, 5.4344 and 5.5871 Å, with angles of 90.00, 90.00 and 90.00 degrees. Symmetry generates all atoms from In at (0.0000, 0.5000, 0.2500), Rh at (0.0000, 0.0000, 0.0000) and Cl at (0.0000, 0.0000, 0.5000).

The calculation puts the raw formation energy at 0.18 eV per formula unit. The calculation puts the magnetic moment at 0.00 μB/f.u. For the energy above the most stable polymorph in this dataset, the calculation gives 49.7 kJ/mol of atoms. The density of states at the Fermi level is 2.335 states/eV per cell.


No. 8
Computed, not measured: a relaxed structure of TeP3 at the PBE level of DFT.

The space group is Pmm2 (No. 25) and the conventional cell measures 3.5538, 5.4814 and 4.2288 Å, with angles of 90.00, 90.00 and 90.00 degrees. Symmetry generates all atoms from Te at (0.0000, 0.0000, 0.0000), P at (0.0000, 0.5000, 0.8903), P at (0.5000, 0.0000, 0.5039) and P at (0.5000, 0.5000, 0.5441).

The calculation puts the raw formation energy at 1.23 eV per formula unit. The calculation puts the magnetic moment at 0.00 μB/f.u. For the energy above the most stable polymorph in this dataset, the calculation gives 10.4 kJ/mol of atoms. The density of states at the Fermi level is 1.135 states/eV per cell.


No. 9
Computed, not measured: a relaxed structure of Gd2YMn at the PBE level of DFT.

The space group is P4/mmm (No. 123) and the conventional cell measures 3.6223, 3.6223 and 8.4982 Å, with angles of 90.00, 90.00 and 90.00 degrees. Symmetry generates all atoms from Gd at (0.0000, 0.0000, 0.2040), Y at (0.5000, 0.5000, 0.5000) and Mn at (0.5000, 0.5000, 0.0000).

The calculation puts the magnetic moment at 18.47 μB/f.u. The density of states at the Fermi level is 5.853 states/eV per cell. For the energy of formation from the pure elements, the calculation gives 169 meV/atom.


No. 10
Computed, not measured: a relaxed structure of Tb6Tl5Bi at the PBE level of DFT.

The space group is Immm (No. 71) and the conventional cell measures 5.0989, 8.6128 and 15.2152 Å, with angles of 90.00, 90.00 and 90.00 degrees. Symmetry generates all atoms from Tb at (0.0000, 0.2483, 0.0000), Tb at (0.0000, 0.2498, 0.3335), Tl at (0.0000, 0.0000, 0.1662), Tl at (0.0000, 0.5000, 0.1734), Tl at (0.0000, 0.5000, 0.5000) and Bi at (0.0000, 0.0000, 0.5000).

The calculation puts the magnetic moment at 0.00 μB/f.u. The density of states at the Fermi level is 18.640 states/eV per cell. For the energy of formation from the pure elements, the calculation gives -391 meV/atom.


No. 11
Computed, not measured: a relaxed structure of Pm2BeP2N6 at the PBE level of DFT.

The space group is R-3m (No. 166, hexagonal axes) and the conventional cell measures 5.3741, 5.3741 and 15.6693 Å, with angles of 90.00, 90.00 and 120.00 degrees. Symmetry generates all atoms from Pm at (0.0000, 0.0000, 0.2140), Be at (0.0000, 0.0000, 0.0000), P at (0.0000, 0.0000, 0.4147) and N at (0.0055, 0.5028, 0.7481).

The calculation puts the raw formation energy at -7.27 eV per formula unit. The calculation puts the magnetic moment at 0.00 μB/f.u. The density of states at the Fermi level is 0.693 states/eV per cell.


No. 12
Computed, not measured: a relaxed structure of YPuCuIr at the PBE level of DFT.

The space group is F-43m (No. 216) and the conventional cell measures 6.9108, 6.9108 and 6.9108 Å, with angles of 90.00, 90.00 and 90.00 degrees. Symmetry generates all atoms from Y at (0.0000, 0.0000, 0.0000), Pu at (0.0000, 0.0000, 0.5000), Cu at (0.2500, 0.2500, 0.7500) and Ir at (0.2500, 0.2500, 0.2500).

The calculation puts the magnetic moment at 5.55 μB/f.u. The density of states at the Fermi level is 41.825 states/eV per cell. For the energy of formation from the pure elements, the calculation gives -361 meV/atom.


No. 13
Computed, not measured: a relaxed structure of K3Tl5Pt6 at the PBE level of DFT.

The space group is Immm (No. 71) and the conventional cell measures 4.6873, 10.9767 and 13.5351 Å, with angles of 90.00, 90.00 and 90.00 degrees. Symmetry generates all atoms from K at (0.0000, 0.0000, 0.0000), K at (0.0000, 0.0000, 0.3194), Tl at (0.0000, 0.3376, 0.3103), Tl at (0.0000, 0.5000, 0.0000), Pt at (0.0000, 0.2239, 0.5000) and Pt at (0.0000, 0.2734, 0.1025).

The calculation puts the magnetic moment at 0.00 μB/f.u. The density of states at the Fermi level is 10.000 states/eV per cell. For the energy of formation from the pure elements, the calculation gives -192 meV/atom.


No. 14
Computed, not measured: a relaxed structure of PrTl2HgSb2 at the PBE level of DFT.

The space group is Pmc2_1 (No. 26) and the conventional cell measures 4.6058, 10.5553 and 7.6653 Å, with angles of 90.00, 90.00 and 90.00 degrees. Symmetry generates all atoms from Pr at (0.0000, 0.0750, 0.0000), Tl at (0.0000, 0.3313, 0.3542), Tl at (0.5000, 0.4539, 0.0687), Hg at (0.5000, 0.1783, 0.6818), Sb at (0.0000, 0.3342, 0.7801) and Sb at (0.5000, 0.0928, 0.2989).

The calculation puts the raw formation energy at -2.01 eV per formula unit. The calculation puts the magnetic moment at 0.00 μB/f.u. The density of states at the Fermi level is 4.392 states/eV per cell.


No. 15
Computed, not measured: a relaxed structure of Zr2ReCl at the PBE level of DFT.

The space group is Immm (No. 71) and the conventional cell measures 4.1178, 5.3366 and 7.0353 Å, with angles of 90.00, 90.00 and 90.00 degrees. Symmetry generates all atoms from Zr at (0.0000, 0.0000, 0.2502), Re at (0.0000, 0.5000, 0.0000) and Cl at (0.0000, 0.5000, 0.5000).

The calculation puts the raw formation energy at 0.32 eV per formula unit. The calculation puts the magnetic moment at 0.00 μB/f.u. For the energy above the most stable polymorph in this dataset, the calculation gives 69.1 kJ/mol of atoms. The density of states at the Fermi level is 6.593 states/eV per cell.


No. 16
Computed, not measured: a relaxed structure of Ca2GePd2 at the PBE level of DFT.

The space group is Immm (No. 71) and the conventional cell measures 4.2857, 5.6458 and 8.9557 Å, with angles of 90.00, 90.00 and 90.00 degrees. Symmetry generates all atoms from Ca at (0.0000, 0.0000, 0.1977), Ge at (0.0000, 0.5000, 0.0000) and Pd at (0.0000, 0.2540, 0.5000).

The calculation puts the magnetic moment at 0.00 μB/f.u. The density of states at the Fermi level is 5.312 states/eV per cell. For the energy of formation from the pure elements, the calculation gives -758 meV/atom.


No. 17
Computed, not measured: a relaxed structure of BeNi7Ge2P2 at the PBE level of DFT.

The space group is C2/m (No. 12) and the conventional cell measures 4.8769, 4.9589 and 13.1082 Å, with angles of 90.00, 95.61 and 90.00 degrees. Symmetry generates all atoms from Be at (0.0000, 0.0000, 0.0000), Ni at (0.0000, 0.5000, 0.0000), Ni at (0.1100, 0.5000, 0.4045), Ni at (0.2137, 0.2500, 0.8678), Ge at (0.1289, 0.0000, 0.4156) and P at (0.0634, 0.5000, 0.2352).

The calculation puts the magnetic moment at 0.00 μB/f.u. The density of states at the Fermi level is 16.798 states/eV per cell. For the energy of formation from the pure elements, the calculation gives -216 meV/atom.


No. 18
Computed, not measured: a relaxed structure of Nd2Er2In5 at the PBE level of DFT.

The space group is Ima2 (No. 46) and the conventional cell measures 14.3296, 7.2150 and 10.0573 Å, with angles of 90.00, 90.00 and 90.00 degrees. Symmetry generates all atoms from Nd at (0.1268, 0.0271, 0.0000), Er at (0.0000, 0.0000, 0.4349), Er at (0.2500, 0.5054, 0.0663), In at (0.0432, 0.1888, 0.7121), In at (0.1518, 0.7082, 0.7772) and In at (0.2500, 0.1889, 0.2850).

The calculation puts the magnetic moment at 0.00 μB/f.u. The density of states at the Fermi level is 27.339 states/eV per cell. For the energy of formation from the pure elements, the calculation gives -275 meV/atom.


No. 19
Computed, not measured: a relaxed structure of LaFeP2 at the PBE level of DFT.

The space group is Immm (No. 71) and the conventional cell measures 3.8289, 5.8777 and 6.7626 Å, with angles of 90.00, 90.00 and 90.00 degrees. Symmetry generates all atoms from La at (0.0000, 0.0000, 0.0000), Fe at (0.0000, 0.0000, 0.5000) and P at (0.0000, 0.5000, 0.1685).

The calculation puts the magnetic moment at 0.11 μB/f.u. For the energy above the most stable polymorph in this dataset, the calculation gives 16.1 kJ/mol of atoms. The density of states at the Fermi level is 8.697 states/eV per cell. For the energy of formation from the pure elements, the calculation gives -703 meV/atom.


No. 20
Computed, not measured: a relaxed structure of ThNbMoC3 at the PBE level of DFT.

The space group is P2_1/m (No. 11) and the conventional cell measures 5.7366, 3.3372 and 8.5068 Å, with angles of 90.00, 102.10 and 90.00 degrees. Symmetry generates all atoms from Th at (0.1413, 0.2500, 0.1965), Nb at (0.2702, 0.7500, 0.5479), Mo at (0.3808, 0.2500, 0.8640), C at (0.0729, 0.2500, 0.6542), C at (0.2670, 0.7500, 0.9806) and C at (0.4659, 0.7500, 0.3446).

The calculation puts the magnetic moment at 0.00 μB/f.u. The density of states at the Fermi level is 5.169 states/eV per cell. For the energy of formation from the pure elements, the calculation gives -288 meV/atom.